No. 1
Entry from the Alexandria database: a relaxed structure of Tb2PrTl3Se6 (PBE).

As for the spin magnetization: 0.0 μB/cell. The calculation puts the final energy at -4.89 eV/atom.

Cell and atoms, written as extended XYZ:
```
12
Lattice="3.6871 -6.3840 0.0000 3.6871 6.3840 0.0000 -2.4580 0.0000 7.7632" Properties=species:S:1:pos:R:3 pbc="T T T"
Tb 3.6871 4.2545 0.0000
Tb 3.6871 -4.2545 0.0000
Pr 3.6871 0.0000 0.0000
Tl -1.2290 0.0000 3.8816
Tl 2.4581 2.1048 3.8816
Tl 2.4581 -2.1048 3.8816
Se -0.0337 2.1859 6.1483
Se 1.1626 0.0000 1.5996
Se -0.0337 -2.1859 6.1483
Se 4.9499 2.1859 1.6149
Se 3.7536 0.0000 6.1637
Se 4.9499 -2.1859 1.6149
```

---

No. 2
Entry from the Alexandria database: a relaxed structure of TbPrTm4Se8 (PBE).

As for the spin magnetization: 0.0 μB/cell. The calculation puts the final energy at -5.63 eV/atom.

Cell and atoms, written as extended XYZ:
```
14
Lattice="4.1957 2.4224 6.8934 -4.1957 2.4224 6.8934 0.0000 -4.8448 6.8934" Properties=species:S:1:pos:R:3 pbc="T T T"
Tb 0.0000 0.0000 0.0000
Pr 0.0000 0.0000 12.9286
Tm 0.0000 2.4419 17.2038
Tm 2.1147 -1.2209 17.2038
Tm 0.0000 0.0000 7.7212
Tm -2.1147 -1.2209 17.2038
Se -2.2840 -1.3187 11.9224
Se 0.0000 0.0000 4.9950
Se 0.0000 -2.5295 8.6771
Se -2.1906 1.2648 8.6771
Se 2.2840 -1.3187 11.9224
Se 0.0000 2.6373 11.9224
Se 0.0000 0.0000 15.7654
Se 2.1906 1.2648 8.6772
```